(1)
The following is a PBE calculation of a geometry-optimized NaRhN3 structure, from the Alexandria database.

a = 3.898 Å, b = 3.898 Å, c = 3.898 Å
α = 90.00°, β = 90.00°, γ = 90.00°
Positions (direct):
1 N 0.000 0.500 0.000
2 N 0.500 0.000 0.000
3 N 0.000 0.000 0.500
4 Na 0.500 0.500 0.500
5 Rh 0.000 0.000 0.000

Properties
E_form (uncorrected)	1.327	eV/atom
total DFT energy (no corrections)	-27.01	eV/cell

(2)
The following is a PBE calculation of a geometry-optimized Na2RhSN structure, from the Alexandria database.

a = 4.778 Å, b = 3.736 Å, c = 4.778 Å
α = 90.00°, β = 90.00°, γ = 90.00°
Positions (direct):
1 Na 0.000 0.000 0.500
2 Na 0.500 0.000 0.000
3 S 0.500 0.500 0.500
4 Rh 0.000 0.500 0.000
5 N 0.000 0.000 0.000

Properties
E_form (uncorrected)	-0.115	eV/atom
total DFT energy (no corrections)	-23.02	eV/cell

(3)
The following is a PBE calculation of a geometry-optimized NaRhS2N structure, from the Alexandria database.

a = 4.741 Å, b = 4.741 Å, c = 3.965 Å
α = 90.00°, β = 90.00°, γ = 90.00°
Positions (direct):
1 Rh 0.500 0.500 0.500
2 S 0.000 0.500 0.000
3 S 0.500 0.000 0.000
4 N 0.000 0.000 0.500
5 Na 0.000 0.000 0.000

Properties
E_form (uncorrected)	1.935	eV/atom
total DFT energy (no corrections)	-15.58	eV/cell
polymorph energy (0 for the lowest one)	1742	meV/atom

(4)
The following is a PBE calculation of a geometry-optimized NaRhS2N structure, from the Alexandria database.

a = 5.010 Å, b = 5.010 Å, c = 3.643 Å
α = 90.00°, β = 90.00°, γ = 90.00°
Site moments in Bohr magnetons follow the coordinates.
Positions (direct):
1 Na 0.500 0.500 0.500  0.00
2 N 0.000 0.000 0.500  0.00
3 Rh 0.000 0.000 0.000  0.02
4 S 0.500 0.000 0.000  0.06
5 S 0.000 0.500 0.000  0.06

Properties
E_form (uncorrected)	0.193	eV/atom
total DFT energy (no corrections)	-24.29	eV/cell
polymorph energy (0 for the lowest one)	0	meV/atom

(5)
The following is a PBE calculation of a geometry-optimized NaRhSeN2 structure, from the Alexandria database.

a = 3.858 Å, b = 3.858 Å, c = 5.476 Å
α = 90.00°, β = 90.00°, γ = 90.00°
Site moments in Bohr magnetons follow the coordinates.
Positions (direct):
1 Na 0.500 0.500 0.500  0.00
2 N 0.000 0.500 0.000  0.15
3 N 0.500 0.000 0.000  0.15
4 Se 0.000 0.000 0.500  0.05
5 Rh 0.000 0.000 0.000  -0.02

Properties
E_form (uncorrected)	0.702	eV/atom
total DFT energy (no corrections)	-25.30	eV/cell
polymorph energy (0 for the lowest one)	0	meV/atom

(6)
The following is a PBE calculation of a geometry-optimized NaRhSeN2 structure, from the Alexandria database.

a = 4.022 Å, b = 4.022 Å, c = 5.399 Å
α = 90.00°, β = 90.00°, γ = 90.00°
Site moments in Bohr magnetons follow the coordinates.
Positions (direct):
1 N 0.500 0.000 0.000  -0.48
2 N 0.000 0.500 0.000  -0.48
3 Na 0.000 0.000 0.000  0.04
4 Rh 0.500 0.500 0.500  0.69
5 Se 0.000 0.000 0.500  0.07

Properties
E_form (uncorrected)	2.418	eV/atom
total DFT energy (no corrections)	-16.72	eV/cell
polymorph energy (0 for the lowest one)	1716	meV/atom

(7)
The following is a PBE calculation of a geometry-optimized Na2Sr6RhN structure, from the Alexandria database.

a = 8.068 Å, b = 8.068 Å, c = 8.065 Å
α = 119.98°, β = 119.98°, γ = 90.11°
Positions (direct):
1 Sr 0.238 0.239 0.001
2 Sr 0.762 0.763 0.524
3 Sr 0.762 0.762 0.999
4 Sr 0.238 0.238 0.476
5 Sr 0.238 0.762 0.000
6 Sr 0.761 0.239 0.000
7 Rh 0.500 0.501 0.000
8 Na 0.750 0.250 0.499
9 Na 0.249 0.750 0.499
10 N 0.000 0.000 0.000

Properties
E_form (uncorrected)	-0.177	eV/atom
total DFT energy (no corrections)	-30.17	eV/cell

(8)
The following is a PBE calculation of a geometry-optimized NaSr2RhN structure, from the Alexandria database.

a = 5.535 Å, b = 5.535 Å, c = 3.923 Å
α = 90.00°, β = 90.00°, γ = 90.00°
Positions (direct):
1 Sr 0.000 0.500 0.000
2 Sr 0.500 0.000 0.000
3 N 0.000 0.000 0.000
4 Na 0.500 0.500 0.500
5 Rh 0.000 0.000 0.500

Properties
E_form (uncorrected)	-0.282	eV/atom
total DFT energy (no corrections)	-21.77	eV/cell

(9)
The following is a PBE calculation of a geometry-optimized NaSr2RhN2 structure, from the Alexandria database.

a = 4.373 Å, b = 6.036 Å, c = 9.573 Å
α = 90.00°, β = 90.00°, γ = 90.00°
Site moments in Bohr magnetons follow the coordinates.
Positions (direct):
1 N 0.500 0.246 0.625  0.23
2 N 0.000 0.746 0.875  0.23
3 N 0.000 0.254 0.125  0.23
4 N 0.500 0.754 0.375  0.23
5 Rh 0.500 0.500 0.500  1.02
6 Rh 0.000 0.000 0.000  1.02
7 Sr 0.000 0.394 0.735  0.03
8 Sr 0.000 0.606 0.265  0.03
9 Sr 0.500 0.894 0.765  0.03
10 Sr 0.500 0.106 0.235  0.03
11 Na 0.000 0.000 0.500  0.01
12 Na 0.500 0.500 0.000  0.01

Properties
E_form (uncorrected)	-0.231	eV/atom
total DFT energy (no corrections)	-60.15	eV/cell

(10)
The following is a PBE calculation of a geometry-optimized NaSrRhN2 structure, from the Alexandria database.

a = 4.896 Å, b = 5.361 Å, c = 4.896 Å
α = 90.00°, β = 90.00°, γ = 90.00°
Site moments in Bohr magnetons follow the coordinates.
Positions (direct):
1 N 0.000 0.000 0.500  1.36
2 N 0.500 0.000 0.000  1.09
3 Rh 0.000 0.500 0.000  0.92
4 Sr 0.000 0.000 0.000  0.02
5 Na 0.500 0.500 0.500  -0.01

Properties
E_form (uncorrected)	1.705	eV/atom
total DFT energy (no corrections)	-18.48	eV/cell

(11)
The following is a PBE calculation of a geometry-optimized NaTeRhN2 structure, from the Alexandria database.

a = 3.946 Å, b = 3.946 Å, c = 5.730 Å
α = 90.00°, β = 90.00°, γ = 90.00°
Site moments in Bohr magnetons follow the coordinates.
Positions (direct):
1 N 0.000 0.500 0.000  0.32
2 N 0.500 0.000 0.000  0.32
3 Na 0.500 0.500 0.500  0.00
4 Rh 0.000 0.000 0.000  0.04
5 Te 0.000 0.000 0.500  0.03

Properties
E_form (uncorrected)	0.843	eV/atom
total DFT energy (no corrections)	-24.25	eV/cell
polymorph energy (0 for the lowest one)	0	meV/atom

(12)
The following is a PBE calculation of a geometry-optimized NaTe2RhN structure, from the Alexandria database.

a = 5.719 Å, b = 5.719 Å, c = 3.624 Å
α = 90.00°, β = 90.00°, γ = 90.00°
Positions (direct):
1 Na 0.500 0.500 0.500
2 Rh 0.000 0.000 0.000
3 Te 0.500 0.000 0.000
4 Te 0.000 0.500 0.000
5 N 0.000 0.000 0.500

Properties
E_form (uncorrected)	0.041	eV/atom
total DFT energy (no corrections)	-23.07	eV/cell
polymorph energy (0 for the lowest one)	0	meV/atom

(13)
The following is a PBE calculation of a geometry-optimized NaTe2RhN structure, from the Alexandria database.

a = 5.394 Å, b = 5.394 Å, c = 4.022 Å
α = 90.00°, β = 90.00°, γ = 90.00°
Site moments in Bohr magnetons follow the coordinates.
Positions (direct):
1 Na 0.000 0.000 0.000  0.03
2 Te 0.500 0.000 0.000  0.07
3 Te 0.000 0.500 0.000  0.07
4 Rh 0.500 0.500 0.500  0.02
5 N 0.000 0.000 0.500  1.52

Properties
E_form (uncorrected)	1.531	eV/atom
total DFT energy (no corrections)	-15.62	eV/cell
polymorph energy (0 for the lowest one)	1490	meV/atom

(14)
The following is a PBE calculation of a geometry-optimized NaTeRhN2 structure, from the Alexandria database.

a = 4.179 Å, b = 4.179 Å, c = 6.008 Å
α = 90.00°, β = 90.00°, γ = 90.00°
Site moments in Bohr magnetons follow the coordinates.
Positions (direct):
1 N 0.000 0.500 0.000  1.60
2 N 0.500 0.000 0.000  1.60
3 Na 0.000 0.000 0.000  0.04
4 Rh 0.500 0.500 0.500  -0.84
5 Te 0.000 0.000 0.500  0.01

Properties
E_form (uncorrected)	2.164	eV/atom
total DFT energy (no corrections)	-17.64	eV/cell
polymorph energy (0 for the lowest one)	1321	meV/atom

(15)
The following is a PBE calculation of a geometry-optimized NaTi2RhN structure, from the Alexandria database.

a = 4.650 Å, b = 4.339 Å, c = 4.650 Å
α = 90.00°, β = 90.00°, γ = 90.00°
Site moments in Bohr magnetons follow the coordinates.
Positions (direct):
1 Na 0.000 0.000 0.000  0.00
2 N 0.500 0.500 0.500  0.35
3 Rh 0.000 0.500 0.000  0.49
4 Ti 0.000 0.000 0.500  -0.26
5 Ti 0.500 0.000 0.000  -0.37

Properties
E_form (uncorrected)	2.452	eV/atom
total DFT energy (no corrections)	-20.53	eV/cell

(16)
The following is a PBE calculation of a geometry-optimized NaTlRh2N structure, from the Alexandria database.

a = 4.090 Å, b = 4.090 Å, c = 4.673 Å
α = 90.00°, β = 90.00°, γ = 90.00°
Site moments in Bohr magnetons follow the coordinates.
Positions (direct):
1 Tl 0.500 0.500 0.500  0.01
2 Rh 0.500 0.000 0.000  0.18
3 Rh 0.000 0.500 0.000  0.18
4 Na 0.000 0.000 0.500  0.00
5 N 0.000 0.000 0.000  0.07

Properties
E_form (uncorrected)	0.142	eV/atom
total DFT energy (no corrections)	-26.00	eV/cell

(17)
The following is a PBE calculation of a geometry-optimized Na2TlRhN structure, from the Alexandria database.

a = 5.075 Å, b = 5.075 Å, c = 3.771 Å
α = 90.00°, β = 90.00°, γ = 90.00°
Positions (direct):
1 Rh 0.000 0.000 0.500
2 Na 0.000 0.500 0.000
3 Na 0.500 0.000 0.000
4 N 0.000 0.000 0.000
5 Tl 0.500 0.500 0.500

Properties
E_form (uncorrected)	-0.028	eV/atom
total DFT energy (no corrections)	-20.82	eV/cell

(18)
The following is a PBE calculation of a geometry-optimized Na3U3RhN8 structure, from the Alexandria database.

a = 6.779 Å, b = 6.779 Å, c = 6.863 Å
α = 119.58°, β = 90.00°, γ = 120.00°
Positions (direct):
1 U 0.500 0.000 0.500
2 U 0.000 0.500 0.500
3 U 0.500 0.500 0.500
4 Rh 0.000 0.000 0.500
5 N 0.730 0.459 0.689
6 N 0.283 0.053 0.323
7 N 0.270 0.541 0.311
8 N 0.230 0.460 0.677
9 N 0.717 0.947 0.677
10 N 0.770 0.540 0.323
11 N 0.230 0.947 0.677
12 N 0.770 0.053 0.323
13 Na 0.000 0.000 0.000
14 Na 0.500 0.500 0.000
15 Na 0.000 0.500 0.000

Properties
E_form (uncorrected)	-0.741	eV/atom
total DFT energy (no corrections)	-122.88	eV/cell

(19)
The following is a PBE calculation of a geometry-optimized NaURhN3 structure, from the Alexandria database.

a = 3.519 Å, b = 6.861 Å, c = 9.013 Å
α = 106.00°, β = 90.00°, γ = 90.00°
Positions (direct):
1 N 0.750 0.465 0.111
2 N 0.750 0.871 0.138
3 N 0.250 0.129 0.862
4 N 0.750 0.161 0.609
5 N 0.250 0.535 0.889
6 N 0.250 0.839 0.391
7 Rh 0.750 0.978 0.382
8 Rh 0.250 0.022 0.618
9 U 0.750 0.318 0.857
10 U 0.250 0.682 0.143
11 Na 0.250 0.184 0.160
12 Na 0.750 0.816 0.840

Properties
E_form (uncorrected)	-0.516	eV/atom
total DFT energy (no corrections)	-96.06	eV/cell

(20)
The following is a PBE calculation of a geometry-optimized Na2RhWN structure, from the Alexandria database.

a = 4.401 Å, b = 4.015 Å, c = 4.401 Å
α = 90.00°, β = 90.00°, γ = 90.00°
Site moments in Bohr magnetons follow the coordinates.
Positions (direct):
1 Na 0.000 0.000 0.500  0.00
2 Na 0.500 0.000 0.000  0.00
3 W 0.000 0.500 0.000  0.15
4 N 0.000 0.000 0.000  -0.01
5 Rh 0.500 0.500 0.500  0.00

Properties
E_form (uncorrected)	0.544	eV/atom
total DFT energy (no corrections)	-28.55	eV/cell

(21)
The following is a PBE calculation of a geometry-optimized NaRuN structure, from the Alexandria database.

a = 3.229 Å, b = 3.229 Å, c = 5.069 Å
α = 90.00°, β = 90.00°, γ = 120.00°
Positions (direct):
1 N 0.667 0.333 0.432
2 Na 0.000 0.000 0.042
3 Ru 0.333 0.667 0.526

Properties
E_form (uncorrected)	0.056	eV/atom
total DFT energy (no corrections)	-18.75	eV/cell

(22)
The following is a PBE calculation of a geometry-optimized NaRuN2 structure, from the Alexandria database.

a = 3.755 Å, b = 3.755 Å, c = 3.755 Å
α = 60.00°, β = 60.00°, γ = 60.00°
Positions (direct):
1 N 0.250 0.250 0.250
2 N 0.750 0.750 0.750
3 Na 0.000 0.000 0.000
4 Ru 0.500 0.500 0.500

Properties
E_form (uncorrected)	0.981	eV/atom
total DFT energy (no corrections)	-23.32	eV/cell
polymorph energy (0 for the lowest one)	858	meV/atom

(23)
The following is a PBE calculation of a geometry-optimized Na3RuN2 structure, from the Alexandria database.

a = 9.878 Å, b = 9.878 Å, c = 9.878 Å
α = 125.92°, β = 125.92°, γ = 80.01°
Positions (direct):
1 Na 0.374 0.874 0.500
2 Na 0.226 0.774 0.000
3 Na 0.976 0.476 0.953
4 Na 0.226 0.226 0.453
5 Na 0.976 0.024 0.500
6 Na 0.624 0.624 0.000
7 Na 0.376 0.376 0.000
8 Na 0.774 0.774 0.547
9 Na 0.774 0.226 0.000
10 Na 0.524 0.476 0.500
11 Na 0.126 0.626 0.500
12 Na 0.524 0.024 0.047
13 N 0.888 0.204 0.316
14 N 0.427 0.112 0.316
15 N 0.888 0.573 0.684
16 N 0.323 0.138 0.184
17 N 0.862 0.677 0.816
18 N 0.796 0.112 0.684
19 N 0.954 0.138 0.816
20 N 0.862 0.046 0.184
21 Ru 0.674 0.174 0.500
22 Ru 0.076 0.076 0.000
23 Ru 0.826 0.326 0.500
24 Ru 0.924 0.924 0.000

Properties
E_form (uncorrected)	0.237	eV/atom
total DFT energy (no corrections)	-113.84	eV/cell
polymorph energy (0 for the lowest one)	219	meV/atom

(24)
The following is a PBE calculation of a geometry-optimized NaRuN2 structure, from the Alexandria database.

a = 6.731 Å, b = 6.731 Å, c = 6.731 Å
α = 26.47°, β = 26.47°, γ = 26.47°
Positions (direct):
1 Na 0.000 0.000 0.000
2 N 0.886 0.886 0.886
3 N 0.114 0.114 0.114
4 Ru 0.500 0.500 0.500

Properties
E_form (uncorrected)	0.599	eV/atom
total DFT energy (no corrections)	-24.85	eV/cell
polymorph energy (0 for the lowest one)	476	meV/atom

(25)
The following is a PBE calculation of a geometry-optimized Na3RuN2 structure, from the Alexandria database.

a = 5.656 Å, b = 5.656 Å, c = 6.179 Å
α = 90.00°, β = 90.00°, γ = 98.74°
Site moments in Bohr magnetons follow the coordinates.
Positions (direct):
1 Na 0.746 0.746 0.750  0.00
2 Na 0.254 0.254 0.250  0.00
3 Na 0.709 0.291 0.000  0.00
4 Na 0.709 0.291 0.500  0.00
5 Na 0.291 0.709 0.500  0.00
6 Na 0.291 0.709 0.000  0.00
7 N 0.000 0.000 0.000  0.02
8 N 0.596 0.596 0.250  0.04
9 N 0.000 0.000 0.500  0.02
10 N 0.404 0.404 0.750  0.04
11 Ru 0.845 0.845 0.250  0.11
12 Ru 0.155 0.155 0.750  0.11

Properties
E_form (uncorrected)	0.019	eV/atom
total DFT energy (no corrections)	-59.54	eV/cell
polymorph energy (0 for the lowest one)	0	meV/atom

(26)
The following is a PBE calculation of a geometry-optimized NaRuN structure, from the Alexandria database.

a = 3.834 Å, b = 3.834 Å, c = 5.559 Å
α = 90.00°, β = 90.00°, γ = 90.00°
Positions (direct):
1 N 0.000 0.500 0.335
2 N 0.500 0.000 0.665
3 Ru 0.500 0.500 0.500
4 Ru 0.000 0.000 0.500
5 Na 0.000 0.500 0.908
6 Na 0.500 0.000 0.092

Properties
E_form (uncorrected)	0.300	eV/atom
total DFT energy (no corrections)	-36.04	eV/cell